Record 1
# VSnOs3

A relaxed structure of VSnOs3 (PBE-GGA, Alexandria via LeMat-Bulk).

Lattice parameters (Å, degrees): 4.5296 4.5296 4.5296 90.00 90.00 90.00
Sites, in units of the cell vectors:
V1 0.0000 0.0000 0.0000
Sn1 0.5000 0.5000 0.5000
Os1 0.0000 0.0000 0.5000
Os2 0.0000 0.5000 0.0000
Os3 0.5000 0.0000 0.0000

Properties
- Energy above the most stable polymorph in this dataset: 0.0 meV per atom
- Energy of formation: 1.52 eV per atom
- Symmetry: Pm-3m (221)

Record 2
# Re2MoPb

A relaxed structure of Re2MoPb (PBE-GGA, Alexandria via LeMat-Bulk).

Lattice parameters (Å, degrees): 2.9208 2.9208 28.7649 90.00 90.00 120.00
Sites, in units of the cell vectors:
Re1 0.0000 0.0000 0.0000
Re2 0.0000 0.0000 0.2612
Re3 0.3333 0.6667 0.6667
Re4 0.3333 0.6667 0.9279
Re5 0.6667 0.3333 0.3333
Re6 0.6667 0.3333 0.5945
Mo1 0.0000 0.0000 0.7438
Mo2 0.3333 0.6667 0.4105
Mo3 0.6667 0.3333 0.0772
Pb1 0.0000 0.0000 0.5018
Pb2 0.3333 0.6667 0.1684
Pb3 0.6667 0.3333 0.8351

Properties
- Energy of formation: 0.62 eV per atom
- Symmetry: R3m (160)

Record 3
# Fe2PRh

A relaxed structure of Fe2PRh (PBE-GGA, Alexandria via LeMat-Bulk).

Lattice parameters (Å, degrees): 8.1897 3.2779 4.4162 90.00 121.68 90.00
Sites, in units of the cell vectors:
Fe1 0.0000 0.0000 0.0000
Fe2 0.2133 0.0000 0.6886
Fe3 0.5000 0.5000 0.0000
Fe4 0.7133 0.5000 0.6886
P1 0.2025 0.5000 0.0350
P2 0.7025 0.0000 0.0350
Rh1 0.4152 0.0000 0.4123
Rh2 0.9152 0.5000 0.4123

Properties
- Energy of formation: -0.21 eV per atom
- Symmetry: Cm (8)

Record 4
# Tm3IrAu2

A relaxed structure of Tm3IrAu2 (PBE-GGA, Alexandria via LeMat-Bulk).

Lattice parameters (Å, degrees): 3.5004 3.5004 10.4692 90.00 90.00 90.00
Sites, in units of the cell vectors:
Tm1 0.0000 0.0000 0.0000
Tm2 0.0000 0.0000 0.3462
Tm3 0.0000 0.0000 0.6538
Ir1 0.5000 0.5000 0.5000
Au1 0.5000 0.5000 0.1712
Au2 0.5000 0.5000 0.8288

Properties
- Energy above the most stable polymorph in this dataset: 0.0 meV per atom
- Energy of formation: -0.90 eV per atom
- Symmetry: P4/mmm (123)

Record 5
# TcMo2W3

A relaxed structure of TcMo2W3 (PBE-GGA, Alexandria via LeMat-Bulk).

Lattice parameters (Å, degrees): 7.5260 7.5260 5.5223 90.00 90.00 38.88
Sites, in units of the cell vectors:
Tc1 0.1961 0.8039 0.7500
Tc2 0.8039 0.1961 0.2500
Mo1 0.3397 0.3397 0.0000
Mo2 0.3397 0.3397 0.5000
Mo3 0.6603 0.6603 0.0000
Mo4 0.6603 0.6603 0.5000
W1 0.1666 0.1770 0.7500
W2 0.1770 0.1666 0.2500
W3 0.3162 0.6838 0.2500
W4 0.6838 0.3162 0.7500
W5 0.8230 0.8334 0.7500
W6 0.8334 0.8230 0.2500

Properties
- Energy above the most stable polymorph in this dataset: 417.6 meV per atom
- Energy of formation: 0.45 eV per atom
- Symmetry: Cmcm (63)

Record 6
# KRe2Si

A relaxed structure of KRe2Si (PBE-GGA, Alexandria via LeMat-Bulk).

Lattice parameters (Å, degrees): 3.0461 3.0461 8.5589 90.00 90.00 90.00
Sites, in units of the cell vectors:
K1 0.0000 0.0000 0.0000
Re1 0.5000 0.5000 0.3495
Re2 0.5000 0.5000 0.6505
Si1 0.0000 0.0000 0.5000

Properties
- Symmetry: P4/mmm (123)
- Formation energy from raw total energies: 0.764 eV per atom

Record 7
# TlNiP2

A relaxed structure of TlNiP2 (PBE-GGA, Alexandria via LeMat-Bulk).

Lattice parameters (Å, degrees): 7.2166 3.7165 6.3067 90.00 105.34 90.00
Sites, in units of the cell vectors:
Tl1 0.0000 0.0000 0.0000
Tl2 0.5000 0.5000 0.0000
Ni1 0.2931 0.0000 0.5844
Ni2 0.7931 0.5000 0.5844
P1 0.1076 0.5000 0.6228
P2 0.2633 0.5000 0.3762
P3 0.6076 0.0000 0.6228
P4 0.7633 0.0000 0.3762

Properties
- Energy above the most stable polymorph in this dataset: 51.6 meV per atom
- Energy of formation: -0.07 eV per atom
- Symmetry: Cm (8)

Record 8
# KHg2P

A relaxed structure of KHg2P (PBE-GGA, Alexandria via LeMat-Bulk).

Lattice parameters (Å, degrees): 4.4331 4.4331 21.6546 90.00 90.00 120.00
Sites, in units of the cell vectors:
K1 0.0000 0.0000 0.0000
K2 0.3333 0.6667 0.6667
K3 0.6667 0.3333 0.3333
Hg1 0.0000 0.0000 0.2203
Hg2 0.0000 0.0000 0.4510
Hg3 0.3333 0.6667 0.1177
Hg4 0.3333 0.6667 0.8869
Hg5 0.6667 0.3333 0.5536
Hg6 0.6667 0.3333 0.7843
P1 0.0000 0.0000 0.7724
P2 0.3333 0.6667 0.4391
P3 0.6667 0.3333 0.1057

Properties
- Energy of formation: -0.14 eV per atom
- Symmetry: R3m (160)